{"formula": "Cr2AgSb", "functional": "PBE", "state": "optimized geometry", "lattice_angstrom": [[3.163, 0.000, 0.000], [0.000, 3.163, 0.000], [0.000, 0.000, 7.104]], "species": ["Cr", "Cr", "Ag", "Sb"], "frac_coords": [[0.000, 0.000, 0.000], [0.500, 0.500, 0.161], [0.500, 0.500, 0.750], [0.000, 0.000, 0.421]], "magnetic_moment_mub_per_fu": 0.57, "total_energy_ev_per_cell": -24.9, "spacegroup": "P4mm, No. 99"}